DFT (PBE+U) results for crystalline Pm2CoTcO8 at its relaxed geometry.

a b c (Å): 5.3281 4.2572 6.8637
angles (deg): 94.12 81.88 97.21
Last column: nearest neighbours and their distance in Å.
Positions (direct):
O: 0.0493 0.8006 0.2469  1 Co 1.88, 1 Tc 2.01
O: 0.2685 0.3127 0.0457  1 Tc 1.87
O: 0.2406 0.7857 0.8432  1 Tc 1.84
O: 0.9507 0.1994 0.7531  1 Co 1.88, 1 Tc 2.01
O: 0.3217 0.2093 0.4497  1 Co 1.83
O: 0.7594 0.2143 0.1568  1 Tc 1.84
O: 0.7315 0.6873 0.9543  1 Tc 1.87
O: 0.6783 0.7907 0.5503  1 Co 1.83
Tc: 0.0000 0.0000 0.0000  6 O 1.84-2.01
Pm: 0.5224 0.3161 0.7368  5 O 2.35-2.46
Pm: 0.4776 0.6839 0.2632  5 O 2.35-2.46
Co: 0.0000 0.0000 0.5000  4 O 1.83-1.88

## Properties
- M_tot: 2.03 μB/f.u.
- Space-group type: P-1
- Energy: -88.80 eV/cell